This record from the Alexandria database describes BaMgCo2 after structural relaxation. The functional is GGA-PBE.

Calculated values
As for the total energy: -57.333 eV/cell. The formation energy comes out at 0.849 eV per atom. The calculation puts the size of the total moment at 0.82 μB per atom.

a = 7.040 Å, b = 7.040 Å, c = 7.040 Å
α = 90.00°, β = 90.00°, γ = 90.00°
Space group F-43m (No. 216)
Symmetry-distinct sites (fractional):
Ba  0.000  0.000  0.000 [4 per cell]
Mg  0.250  0.250  0.750 [4 per cell]
Co  0.000  0.000  0.500 [4 per cell]
Co  0.250  0.250  0.250 [4 per cell]